Below is LaZn2B after structural relaxation, with properties calculated at the PBE-GGA level.

Computed properties:
DFT formation energy = 0.5 eV/f.u.
uncorrected energy = -3.4240 eV/atom
SG = I4_1/amd
total magnetization = 0.00 μB/f.u.

a b c (Å): 7.987 7.987 7.987
angles (deg): 145.95 145.95 48.92
Atoms (fractional coordinates):
La  0.375  0.625  0.750
La  0.625  0.375  0.250
Zn  0.000  0.000  0.000
Zn  0.000  0.000  0.500
Zn  0.000  0.500  0.000
Zn  0.500  0.000  0.500
B  0.125  0.875  0.250
B  0.875  0.125  0.750


Below is LaZnB2 after structural relaxation, with properties calculated at the PBE-GGA level.

Computed properties:
DFT formation energy = 1.0 eV/f.u.
uncorrected energy = -4.6494 eV/atom
SG = I4_1/amd
total magnetization = 0.00 μB/f.u.

a b c (Å): 7.722 7.722 7.722
angles (deg): 147.78 147.78 46.21
Atoms (fractional coordinates):
La  0.375  0.625  0.750
La  0.625  0.375  0.250
Zn  0.125  0.875  0.250
Zn  0.875  0.125  0.750
B  0.000  0.000  0.000
B  0.000  0.000  0.500
B  0.000  0.500  0.000
B  0.500  0.000  0.500


Below is LaZnB3 after structural relaxation, with properties calculated at the PBE-GGA level.

Computed properties:
DFT formation energy = 12.0 eV/f.u.
energy relative to the lowest polymorph listed for this composition = 1.417 eV per atom
uncorrected energy = -2.8546 eV/atom
SG = Pm-3m
total magnetization = 0.00 μB/f.u.

a b c (Å): 4.808 4.808 4.808
angles (deg): 90.00 90.00 90.00
Atoms (fractional coordinates):
La  0.000  0.000  0.000
Zn  0.500  0.500  0.500
B  0.000  0.000  0.500
B  0.000  0.500  0.000
B  0.500  0.000  0.000


Below is LaZnB3 after structural relaxation, with properties calculated at the PBE-GGA level.

Computed properties:
DFT formation energy = 4.9 eV/f.u.
energy relative to the lowest polymorph listed for this composition = 0.000 eV per atom
uncorrected energy = -4.2714 eV/atom
SG = Pm-3m
total magnetization = 0.00 μB/f.u.

a b c (Å): 4.178 4.178 4.178
angles (deg): 90.00 90.00 90.00
Atoms (fractional coordinates):
La  0.000  0.000  0.000
Zn  0.500  0.500  0.500
B  0.000  0.500  0.500
B  0.500  0.000  0.500
B  0.500  0.500  0.000


Below is La2ZnB2 after structural relaxation, with properties calculated at the PBE-GGA level.

Computed properties:
DFT formation energy = -0.4 eV/f.u.
uncorrected energy = -4.9840 eV/atom
SG = P4/mbm
total magnetization = 0.00 μB/f.u.

a b c (Å): 7.243 7.243 3.818
angles (deg): 90.00 90.00 90.00
Atoms (fractional coordinates):
La  0.198  0.302  0.000
La  0.302  0.802  0.000
La  0.698  0.198  0.000
La  0.802  0.698  0.000
Zn  0.000  0.000  0.500
Zn  0.500  0.500  0.500
B  0.078  0.578  0.500
B  0.422  0.078  0.500
B  0.578  0.922  0.500
B  0.922  0.422  0.500


Below is LaZrB12 after structural relaxation, with properties calculated at the PBE-GGA level.

Computed properties:
DFT formation energy = -4.1 eV/f.u.
uncorrected energy = -6.9784 eV/atom
SG = P4/mmm
total magnetization = 0.00 μB/f.u.

a b c (Å): 4.110 4.110 8.190
angles (deg): 90.00 90.00 90.00
Atoms (fractional coordinates):
La  0.000  0.000  0.000
Zr  0.000  0.000  0.500
B  0.199  0.500  0.254
B  0.199  0.500  0.746
B  0.500  0.199  0.254
B  0.500  0.199  0.746
B  0.500  0.500  0.102
B  0.500  0.500  0.403
B  0.500  0.500  0.597
B  0.500  0.500  0.898
B  0.500  0.801  0.254
B  0.500  0.801  0.746
B  0.801  0.500  0.254
B  0.801  0.500  0.746


Q: What is the DFT formation energy in the third record?
A: 12.0 eV/f.u.